In2ReAu, relaxed, DFT PBE-GGA; total DFT energy (no corrections) = -4.824 eV/atom; formation energy from the elements = 46.00 kJ/mol of atoms; ΔE to the lowest computed polymorph = 0.51 eV/f.u.
1.0
-2.094 2.094 4.288
2.094 -2.094 4.288
2.094 2.094 -4.288
In Re Au
2 1 1
direct
0.250 0.750 0.500
0.750 0.250 0.500
0.000 0.000 0.000
0.500 0.500 0.000

---

Tl6IBr5, relaxed, DFT PBE-GGA; total DFT energy (no corrections) = -2.837 eV/atom
1.0
4.169 -7.230 0.000
4.169 7.230 0.000
-2.791 0.000 7.862
Tl I Br
6 1 5
direct
0.071 0.415 0.745
0.241 0.241 0.255
0.415 0.071 0.745
0.585 0.929 0.255
0.759 0.759 0.745
0.929 0.585 0.255
0.500 0.500 0.000
0.000 0.000 0.500
0.169 0.831 0.000
0.338 0.662 0.500
0.662 0.338 0.500
0.831 0.169 0.000

---

TcNi2Pt, relaxed, DFT PBE-GGA; total DFT energy (no corrections) = -7.073 eV/atom; formation energy from the elements = -7.77 kJ/mol of atoms; ΔE to the lowest computed polymorph = 0.00 eV/f.u.
1.0
2.651 0.000 0.000
0.000 2.651 0.000
0.000 0.000 7.403
Tc Ni Pt
1 2 1
direct
0.000 0.000 0.000
0.500 0.500 0.243
0.500 0.500 0.757
0.000 0.000 0.500

---

MoOs2W, relaxed, DFT PBE-GGA; total DFT energy (no corrections) = -11.342 eV/atom; formation energy from the elements = 21.16 kJ/mol of atoms; ΔE to the lowest computed polymorph = 0.63 eV/f.u.
1.0
1.383 0.798 9.227
-1.383 0.798 9.227
0.000 -1.597 9.227
Mo Os W
1 2 1
direct
0.000 0.000 0.000
0.253 0.253 0.253
0.503 0.503 0.503
0.756 0.756 0.756

---

AcCeSb, relaxed, DFT PBE-GGA; total DFT energy (no corrections) = -5.165 eV/atom; ΔE to the lowest computed polymorph = 0.95 eV/f.u.
1.0
0.000 3.838 3.838
3.838 0.000 3.838
3.838 3.838 0.000
Ac Ce Sb
1 1 1
direct
0.000 0.000 0.000
0.500 0.500 0.500
0.250 0.250 0.250

---

GaS5Br, relaxed, DFT PBE-GGA; total DFT energy (no corrections) = -3.820 eV/atom
1.0
3.993 0.000 0.000
-1.691 7.164 0.000
-0.412 -2.877 7.479
Ga S Br
1 5 1
direct
0.000 0.000 0.000
0.021 0.562 0.687
0.450 0.386 0.919
0.575 0.213 0.069
0.600 0.324 0.672
0.837 0.808 0.706
0.915 0.894 0.240

---

LaPb2Au2, relaxed, DFT PBE-GGA; total DFT energy (no corrections) = -4.162 eV/atom; formation energy from the elements = -36.84 kJ/mol of atoms
1.0
7.755 0.000 0.000
0.000 7.755 0.000
0.000 0.000 4.532
La Pb Au
2 4 4
direct
0.000 0.000 0.000
0.500 0.500 0.000
0.190 0.310 0.500
0.310 0.810 0.500
0.690 0.190 0.500
0.810 0.690 0.500
0.125 0.625 0.000
0.375 0.125 0.000
0.625 0.875 0.000
0.875 0.375 0.000

---

Number 1: spin magnetization 0.1269 μB/atom, calculated density 13.531 g cm⁻³, Fermi-level density of states 3.37 states/eV/cell. Number 2: spin magnetization 0.0000 μB/atom, calculated density 6.141 g cm⁻³, Fermi-level density of states 0.00 states/eV/cell. Number 3: spin magnetization 0.0000 μB/atom, calculated density 13.098 g cm⁻³, Fermi-level density of states 3.95 states/eV/cell. Number 4: spin magnetization 0.0000 μB/atom, calculated density 17.939 g cm⁻³, Fermi-level density of states 3.66 states/eV/cell. Number 5: spin magnetization 0.5791 μB/atom, calculated density 7.177 g cm⁻³, Fermi-level density of states 10.58 states/eV/cell. Number 6: spin magnetization 0.0000 μB/atom, calculated density 2.406 g cm⁻³, Fermi-level density of states 0.00 states/eV/cell. Number 7: spin magnetization 0.0000 μB/atom, calculated density 11.543 g cm⁻³, Fermi-level density of states 5.37 states/eV/cell.